w) EuYHo2: optimized geometry, PBE.

abc: 3.596 3.596 10.315
angles: 90.00 90.00 90.00
Space group P4/mmm (No. 123)
Unique sites:
Eu  0.000  0.000  0.000 [1 per cell]
Y  0.000  0.000  0.500 [1 per cell]
Ho  0.500  0.500  0.264 [2 per cell]

As for the crystal system: tetragonal. The size of the total moment is 7.45 μB per formula unit. The value obtained for the calculated density is 7.11 Mg/m³.

---

x) EuYHo2: optimized geometry, PBE.

abc: 8.113 8.113 8.113
angles: 90.00 90.00 90.00
Space group Fm-3m (No. 225)
Unique sites:
Eu  0.000  0.000  0.000 [4 per cell]
Y  0.000  0.000  0.500 [4 per cell]
Ho  0.250  0.250  0.250 [8 per cell]

As for the crystal system: cubic. The size of the total moment is 8.21 μB per formula unit. The value obtained for the calculated density is 7.10 Mg/m³.

---

Energy relative to the most stable one, in kJ/mol of atoms: w) 0.0; x) 9.7

---

w) EuYHo2: optimized geometry, PBE.

abc: 3.6019 3.6019 35.5212
angles: 90.00 90.00 120.00
Space group R-3m (No. 166, hexagonal axes)
Unique sites:
Eu  0.0000  0.0000  0.0000 [3 per cell]
Y  0.0000  0.0000  0.5000 [3 per cell]
Ho  0.0000  0.0000  0.2466 [6 per cell]

As for the crystal system: trigonal. The size of the total moment is 7.63 μB per formula unit. The value obtained for the calculated density is 7.12 Mg/m³.

---

x) EuYHo2: optimized geometry, PBE.

abc: 5.905 5.905 3.813
angles: 90.00 90.00 90.00
Space group P4/mmm (No. 123)
Unique sites:
Eu  0.000  0.000  0.000 [1 per cell]
Y  0.500  0.500  0.000 [1 per cell]
Ho  0.000  0.500  0.500 [2 per cell]

As for the crystal system: tetragonal. The size of the total moment is 7.94 μB per formula unit. The value obtained for the calculated density is 7.13 Mg/m³.

---

Energy relative to the most stable one, in kJ/mol of atoms: w) 0.0; x) 9.1

---

w) EuHoZn: optimized geometry, PBE.

abc: 3.663 3.663 12.676
angles: 90.00 90.00 90.00
Space group I4mm (No. 107)
Unique sites:
Eu  0.000  0.000  0.000 [2 per cell]
Ho  0.000  0.000  0.277 [2 per cell]
Zn  0.000  0.000  0.657 [2 per cell]

As for the crystal system: tetragonal. The size of the total moment is 7.40 μB per formula unit. The value obtained for the calculated density is 7.47 Mg/m³.

---

x) EuHoZn: optimized geometry, PBE.

abc: 5.0924 5.0924 3.8508
angles: 90.00 90.00 120.00
Space group P3m1 (No. 156)
Unique sites:
Eu  0.0000  0.0000  0.0000 [1 per cell]
Ho  0.3333  0.6667  0.5207 [1 per cell]
Zn  0.6667  0.3333  0.4211 [1 per cell]

As for the crystal system: trigonal. The size of the total moment is 7.29 μB per formula unit. The value obtained for the calculated density is 7.34 Mg/m³.

---

Energy relative to the most stable one, in kJ/mol of atoms: w) 0.0; x) 17.1